4
Lattice="5.452 -0.002 0.001 2.629 4.776 -0.001 -3.379 -3.505 2.452" Properties=species:S:1:pos:R:3 comment="PBE FeOsAu2, relaxed" space_group="No. 44" dos_ef_per_ev_atom=0.830 polymorph_energy_ev_per_atom=0.2261 pbc="T T T"
Au 0.064 0.038 0.000
Au 2.928 -0.636 1.226
Fe 3.914 2.312 0.000
Os 1.835 1.941 1.226

=====

8
Lattice="3.827 0.000 0.000 0.000 3.827 0.000 1.913 1.913 10.389" Properties=species:S:1:pos:R:3 comment="PBE ZrAg2Os, relaxed" space_group="No. 122" dos_ef_per_ev_atom=0.577 polymorph_energy_ev_per_atom=0.3114 pbc="T T T"
Os 0.000 0.000 0.000
Os 3.827 1.913 5.194
Zr 1.913 1.913 0.000
Zr 1.913 3.827 5.194
Ag 2.910 0.957 2.597
Ag 0.917 2.870 2.597
Ag 2.870 2.830 7.791
Ag 4.783 4.823 7.791

=====

8
Lattice="-0.473 -4.521 4.358 2.091 -4.234 -4.166 4.997 -3.576 1.383" Properties=species:S:1:pos:R:3 comment="PBE BaS2O, relaxed" space_group="No. 227" dos_ef_per_ev_atom=0.000 e_form_raw_ev_per_atom=-0.666 pbc="T T T"
S 1.333 -3.115 1.456
S 2.378 -5.239 -0.621
S 4.878 -7.027 0.064
S 4.639 -9.281 2.249
Ba 0.000 0.000 0.000
Ba 2.666 -6.237 2.918
O 0.809 -4.378 0.096
O 3.948 -6.094 -1.344